An optimized crystal structure of Li2NpAgSe4, computed with PBE-GGA.

The structure in POSCAR format:
```
Li2NpAgSe4
1.0
6.559 0.000 0.000
0.000 4.077 0.000
-2.149 0.000 6.551
Li Np Ag Se
2 1 1 4
Direct
0.000 0.000 0.000
0.500 0.500 0.000
0.000 0.500 0.500
0.500 0.000 0.500
0.238 0.500 0.242
0.248 0.000 0.750
0.752 0.000 0.250
0.762 0.500 0.758
```

Results
V in Å³/f.u.: 175
Size of the total moment in μB per formula unit: 2.13
Total energy in eV for the cell shown: -40.6
ρ in g/cm³: 6.4